The following is a DFT calculation (PBE-GGA) of La2TaTl after structural relaxation.

Properties
Total moment   0.0 μB/f.u.
Formation energy from the elements   143 meV per atom
Uncorrected energy   -5.876 eV/atom
Calculated density   9.8 g/cm3
Space group   No. 123
ΔE to the lowest computed polymorph   0.00 kcal/mol of atoms
Volume   112.1 Å³ per cell

Cell lengths 3.3180, 3.3180, 10.1813 Å; angles 90.00, 90.00, 90.00 degrees
Positions (direct):
La  0.0000  0.0000  0.2285
La  0.0000  0.0000  0.7715
Ta  0.5000  0.5000  0.0000
Tl  0.5000  0.5000  0.5000